# H3OsBr, relaxed, DFT PBE
# - calculated total energy (eV per atom) = -3.681
# - Fermi-level density of states (states/eV/f.u.) = 3.68
# - space group = Pm-3m, No. 221
data_H3OsBr
_chemical_formula_sum 'H3 Os1 Br1'
_space_group_name_H-M_alt 'P 1'
_space_group_IT_number 1
_space_group_name_Hall 'P 1'
_cell_length_a 3.6529
_cell_length_b 3.6529
_cell_length_c 3.6529
_cell_angle_alpha 90.00
_cell_angle_beta 90.00
_cell_angle_gamma 90.00
loop_
_atom_site_label
_atom_site_type_symbol
_atom_site_fract_x
_atom_site_fract_y
_atom_site_fract_z
_atom_site_occupancy
H1 H 0.0000 0.5000 0.0000 1
H2 H 0.0000 0.0000 0.5000 1
H3 H 0.5000 0.0000 0.0000 1
Os1 Os 0.0000 0.0000 0.0000 1
Br1 Br 0.5000 0.5000 0.5000 1



# Pr2NdSi, relaxed, DFT PBE
# - ΔE_f (raw) (eV/f.u.) = 0.12
# - Fermi-level density of states (states/eV/f.u.) = 6.37
# - space group = R-3m, No. 166
data_Pr2NdSi
_chemical_formula_sum 'Pr2 Nd1 Si1'
_space_group_name_H-M_alt 'P 1'
_space_group_IT_number 1
_space_group_name_Hall 'P 1'
_cell_length_a 3.7820
_cell_length_b 3.7820
_cell_length_c 11.3079
_cell_angle_alpha 80.37
_cell_angle_beta 80.37
_cell_angle_gamma 60.00
loop_
_atom_site_label
_atom_site_type_symbol
_atom_site_fract_x
_atom_site_fract_y
_atom_site_fract_z
_atom_site_occupancy
Pr1 Pr 0.1087 0.1087 0.6740 1
Pr2 Pr 0.8913 0.8913 0.3260 1
Si1 Si 0.5000 0.5000 0.5000 1
Nd1 Nd 0.0000 0.0000 0.0000 1



# Pa2NiP3Rh4, relaxed, DFT PBE
# - ΔE_f (meV per atom) = -908
# - Fermi-level density of states (states/eV/f.u.) = 5.64
# - space group = P-4m2, No. 115
data_Pa2NiP3Rh4
_chemical_formula_sum 'Pa2 Ni1 P3 Rh4'
_space_group_name_H-M_alt 'P 1'
_space_group_IT_number 1
_space_group_name_Hall 'P 1'
_cell_length_a 3.9342
_cell_length_b 3.9342
_cell_length_c 10.4045
_cell_angle_alpha 90.00
_cell_angle_beta 90.00
_cell_angle_gamma 90.00
loop_
_atom_site_label
_atom_site_type_symbol
_atom_site_fract_x
_atom_site_fract_y
_atom_site_fract_z
_atom_site_occupancy
Pa1 Pa 0.5000 0.0000 0.2596 1
Pa2 Pa 0.0000 0.5000 0.7404 1
Ni1 Ni 0.5000 0.5000 0.5000 1
P1 P 0.0000 0.0000 0.5000 1
P2 P 0.5000 0.0000 0.8695 1
P3 P 0.0000 0.5000 0.1305 1
Rh1 Rh 0.5000 0.5000 0.0000 1
Rh2 Rh 0.0000 0.0000 0.0000 1
Rh3 Rh 0.5000 0.0000 0.6519 1
Rh4 Rh 0.0000 0.5000 0.3481 1